Entry 1:
Below is a relaxed LiAl2Co crystal, with properties calculated at the GGA-PBE level.

Unit cell a=4.1859 b=4.1859 c=4.1859 alpha=60.00 beta=60.00 gamma=60.00
Atoms (fractional coordinates):
Al 0.0000 0.0000 0.0000
Al 0.7500 0.7500 0.7500
Co 0.2500 0.2500 0.2500
Li 0.5000 0.5000 0.5000

Summary:
total energy = -4.25 eV/atom

Entry 2:
Below is a relaxed LiAlCoMo crystal, with properties calculated at the GGA-PBE level.

Unit cell a=4.1983 b=4.1983 c=4.1983 alpha=60.00 beta=60.00 gamma=60.00
Site moments in Bohr magnetons follow the coordinates.
Atoms (fractional coordinates):
Co 0.7500 0.7500 0.7500  1.03
Mo 0.2500 0.2500 0.2500  1.17
Al 0.0000 0.0000 0.0000  -0.01
Li 0.5000 0.5000 0.5000  -0.02

Summary:
energy above the most stable polymorph in this dataset = 316 meV/atom

Repeat the second record exactly.
Below is a relaxed LiAlCoMo crystal, with properties calculated at the GGA-PBE level.

Unit cell a=4.1983 b=4.1983 c=4.1983 alpha=60.00 beta=60.00 gamma=60.00
Site moments in Bohr magnetons follow the coordinates.
Atoms (fractional coordinates):
Co 0.7500 0.7500 0.7500  1.03
Mo 0.2500 0.2500 0.2500  1.17
Al 0.0000 0.0000 0.0000  -0.01
Li 0.5000 0.5000 0.5000  -0.02

Summary:
energy above the most stable polymorph in this dataset = 316 meV/atom